# PBE Sm5Dy12Mg2, optimized geometry
data_Sm5Dy12Mg2
_chemical_formula_sum 'Sm5 Dy12 Mg2'
_cell_length_a 9.222
_cell_length_b 12.200
_cell_length_c 8.424
_cell_angle_alpha 132.19
_cell_angle_beta 90.00
_cell_angle_gamma 112.21
_space_group_name_H-M_alt 'P 1'
_space_group_IT_number 1
loop_
_space_group_symop_operation_xyz
'x,y,z'
loop_
_atom_site_label
_atom_site_fract_x
_atom_site_fract_y
_atom_site_fract_z
Sm1 0.294 0.589 0.609
Sm2 0.233 0.466 0.893
Sm3 0.000 0.000 0.500
Sm4 0.767 0.534 0.107
Sm5 0.706 0.411 0.391
Dy1 0.077 0.155 0.275
Dy2 0.036 0.708 0.947
Dy3 0.672 0.708 0.947
Dy4 0.181 0.746 0.420
Dy5 0.565 0.746 0.420
Dy6 0.557 0.114 0.780
Dy7 0.443 0.886 0.220
Dy8 0.819 0.254 0.580
Dy9 0.435 0.254 0.580
Dy10 0.964 0.292 0.053
Dy11 0.328 0.292 0.053
Dy12 0.923 0.845 0.725
Mg1 0.667 0.000 0.000
Mg2 0.333 0.000 0.000
# - Electronic total energy: -0.155 Ha/atom